Crystalline NpPaAs2N at its relaxed geometry, computed with PBE-GGA.

Unit cell a=3.9598 b=3.9598 c=13.8227 alpha=90.00 beta=90.00 gamma=90.00
With the nearest neighbours (Å) after each atom.
Fractional coordinates of all 10 atoms:
N 0.0000 0.0000 0.5000  4 Pa 2.31
N 0.5000 0.5000 0.5000  4 Pa 2.31
As 0.0000 0.5000 0.6863  1 Np 2.75
As 0.5000 0.0000 0.9036  5 Np 2.81-2.91
As 0.0000 0.5000 0.0964  5 Np 2.81-2.91
As 0.5000 0.0000 0.3137  1 Np 2.75
Np 0.0000 0.5000 0.8855  6 As 2.75-2.91
Np 0.5000 0.0000 0.1145  6 As 2.75-2.91
Pa 0.5000 0.0000 0.5856  4 N 2.31
Pa 0.0000 0.5000 0.4144  4 N 2.31

Summary:
The value obtained for the uncorrected formation energy is -0.994 eV/atom. Its density is 9.682 g/cm³. As for the density of states at the Fermi level: 15.455 states/eV/cell. The symmetry is P4/nmm.